VASP calculation (PBE with a Hubbard U) on a geometry-optimized CoAsPbO structure.

Output
Magnetic moment = 0.00 μB/atom
ΔE to the lowest computed polymorph = 0 meV per atom
Calculated volume = 18.602 Å³/atom
Space-group type = P4/nmm

Cell and atoms, written as POSCAR:
```
CoAsPbO
1.0
3.8219 0.0000 0.0000
0.0000 3.8219 0.0000
0.0000 0.0000 10.1880
Co As Pb O
2 2 2 2
Direct
0.2500 0.7500 0.0000
0.7500 0.2500 0.0000
0.2500 0.2500 0.1233
0.7500 0.7500 0.8767
0.2500 0.2500 0.6246
0.7500 0.7500 0.3754
0.2500 0.7500 0.5000
0.7500 0.2500 0.5000
```